# 1
Density functional theory data (PBE-GGA) for K2ThBr8 after structural relaxation.

Computed properties:
* uncorrected formation energy: -1425 meV per atom
* total DFT energy (no corrections): -3.516 eV per atom

Cell: 8.1873 9.4484 9.4484 Å, 79.94 56.65 56.65°
Closest atoms and distances in Å follow each position.
Element x y z (fractional)
K  0.2114  0.2068  0.2068  7 Br 3.33-3.58
Br  0.2064  0.4388  0.4388  1 Br 2.44
Br  0.7102  0.1871  0.8696  1 Th 2.85
Br  0.7936  0.5612  0.5612  1 Br 2.44
Br  0.7102  0.8696  0.1871  1 Th 2.85
Br  0.2898  0.1304  0.8129  1 Th 2.85
Br  0.2851  0.7197  0.7197  1 Th 2.89, 1 Br 2.98
Th  0.0000  0.0000  0.0000  6 Br 2.85-2.89
Br  0.2898  0.8129  0.1304  1 Th 2.85
K  0.7886  0.7932  0.7932  7 Br 3.33-3.58
Br  0.7149  0.2803  0.2803  1 Th 2.89, 1 Br 2.98

---

# 2
Density functional theory data (PBE-GGA) for K3ThBr7 after structural relaxation.

Computed properties:
* uncorrected formation energy: -1744 meV per atom
* total DFT energy (no corrections): -3.782 eV per atom

Cell: 7.8165 7.8165 8.7007 Å, 64.78 64.78 86.04°
Closest atoms and distances in Å follow each position.
Element x y z (fractional)
K  0.2281  0.7808  0.4887  7 Br 3.23-3.54
K  0.7808  0.2281  0.4887  7 Br 3.23-3.54
Br  0.1377  0.6310  0.2104  1 Th 2.95
Br  0.8111  0.8111  0.8523  1 Th 2.89, 1 K 3.23
Br  0.3200  0.9779  0.7364  1 Th 2.93
Br  0.6310  0.1377  0.2104  1 Th 2.95
K  0.5041  0.5041  0.9129  4 Br 3.23-3.39
Br  0.9779  0.3200  0.7364  1 Th 2.93
Br  0.6445  0.6445  0.4081  1 Th 3.05, 2 K 3.23
Br  0.1404  0.1404  0.1612  1 Th 2.89
Th  0.9495  0.9495  0.0445  7 Br 2.89-3.05

---

Number 2 is which compound? K3ThBr7

---

Among the records above, which one has the lowest uncorrected formation energy? K3ThBr7

---

What is the uncorrected formation energy in the first record? -1425 meV per atom

---

Which of these has the lowest uncorrected formation energy? K3ThBr7